## Cs3Tb2DyS6 (PBE)

Data for an optimized crystal structure of Cs3Tb2DyS6.

Symmetry: C2/m
Volume (Å³ per cell): 355.6
Total magnetization (μB per cell): 0.00
VASP energy (Ha/atom): -0.194
Formation energy (no corrections) (eV/atom): -1.834

a = 7.1339 Å, b = 7.1339 Å, c = 8.4125 Å
α = 98.13°, β = 98.13°, γ = 120.00°
Element x y z (fractional)
Cs (0.0000, 0.0000, 0.0000)
Cs (0.3331, 0.6669, 0.0000)
Cs (0.6669, 0.3331, 0.0000)
Tb (0.1667, 0.8333, 0.5000)
Tb (0.8333, 0.1667, 0.5000)
Dy (0.5000, 0.5000, 0.5000)
S (0.1071, 0.4393, 0.3181)
S (0.2285, 0.2285, 0.6820)
S (0.4393, 0.1071, 0.3181)
S (0.5607, 0.8929, 0.6819)
S (0.7715, 0.7715, 0.3180)
S (0.8929, 0.5607, 0.6819)

=====

## TlZnTeBr (PBE)

Data for an optimized crystal structure of TlZnTeBr.

Symmetry: R3m
Volume (Å³ per cell): 134.9
Total magnetization (μB per cell): 0.00
VASP energy (Ha/atom): -0.099
Formation energy (no corrections) (eV/atom): -0.589

a = 8.4741 Å, b = 8.4741 Å, c = 8.4741 Å
α = 30.02°, β = 30.02°, γ = 30.02°
Element x y z (fractional)
Tl (0.0000, 0.0000, 0.0000)
Zn (0.1479, 0.1479, 0.1479)
Te (0.7771, 0.7771, 0.7771)
Br (0.2517, 0.2517, 0.2517)

=====

## Sb2MoIN (PBE)

Data for an optimized crystal structure of Sb2MoIN.

Symmetry: P4/mmm
Volume (Å³ per cell): 105.9
Distance to the lowest polymorph of the same formula (meV per atom): 0
Total magnetization (μB per cell): 2.61
VASP energy (Ha/atom): -0.170
Formation energy (no corrections) (eV/atom): 1.161

a = 4.7578 Å, b = 4.7578 Å, c = 4.6776 Å
α = 90.00°, β = 90.00°, γ = 90.00°
Element x y z (fractional)
Sb (0.0000, 0.5000, 0.0000)
Sb (0.5000, 0.0000, 0.0000)
Mo (0.0000, 0.0000, 0.5000)
I (0.5000, 0.5000, 0.5000)
N (0.5000, 0.5000, 0.0000)

=====

## Na3TeMo (PBE)

Data for an optimized crystal structure of Na3TeMo.

Symmetry: Pm-3m
Volume (Å³ per cell): 203.3
Distance to the lowest polymorph of the same formula (meV per atom): 0
Total magnetization (μB per cell): 5.02
VASP energy (Ha/atom): -0.110
Formation energy (no corrections) (eV/atom): 0.600

a = 5.8801 Å, b = 5.8801 Å, c = 5.8801 Å
α = 90.00°, β = 90.00°, γ = 90.00°
Element x y z (fractional)
Na (0.0000, 0.0000, 0.5000)
Na (0.0000, 0.5000, 0.0000)
Na (0.5000, 0.0000, 0.0000)
Te (0.0000, 0.0000, 0.0000)
Mo (0.5000, 0.5000, 0.5000)

=====

## NaHfBe3 (PBE)

Data for an optimized crystal structure of NaHfBe3.

Symmetry: Pm-3m
Formation enthalpy at 0 K (eV/atom): 1.24
Volume (Å³ per cell): 72.9
Distance to the lowest polymorph of the same formula (meV per atom): 0
Total magnetization (μB per cell): 0.00
VASP energy (Ha/atom): -0.120

a = 4.1767 Å, b = 4.1767 Å, c = 4.1767 Å
α = 90.00°, β = 90.00°, γ = 90.00°
Element x y z (fractional)
Na (0.0000, 0.0000, 0.0000)
Hf (0.5000, 0.5000, 0.5000)
Be (0.0000, 0.0000, 0.5000)
Be (0.0000, 0.5000, 0.0000)
Be (0.5000, 0.0000, 0.0000)

=====

## ZnRe2Ir (PBE)

Data for an optimized crystal structure of ZnRe2Ir.

Symmetry: Imm2
Formation enthalpy at 0 K (eV/atom): 0.22
Volume (Å³ per cell): 58.1
Distance to the lowest polymorph of the same formula (meV per atom): 221
Total magnetization (μB per cell): 0.00
VASP energy (Ha/atom): -0.314

a = 5.1728 Å, b = 5.1728 Å, c = 5.1728 Å
α = 147.35°, β = 128.14°, γ = 62.64°
Element x y z (fractional)
Zn (0.0000, 0.0000, 0.0000)
Re (0.5035, 0.5035, 0.0000)
Re (0.7552, 0.2552, 0.5000)
Ir (0.2382, 0.7382, 0.5000)

=====

## Na3Sr2TaO6 (PBE)

Data for an optimized crystal structure of Na3Sr2TaO6.

Symmetry: C2/m
Volume (Å³ per cell): 177.4
Total magnetization (μB per cell): 0.00
VASP energy (Ha/atom): -0.239
Formation energy (no corrections) (eV/atom): -2.426

a = 6.0956 Å, b = 6.0956 Å, c = 5.8896 Å
α = 99.50°, β = 99.50°, γ = 120.70°
Element x y z (fractional)
Na (0.0000, 0.0000, 0.0000)
Na (0.3544, 0.6456, 0.0000)
Na (0.6456, 0.3544, 0.0000)
Sr (0.1682, 0.8318, 0.5000)
Sr (0.8318, 0.1682, 0.5000)
Ta (0.5000, 0.5000, 0.5000)
O (0.1572, 0.4316, 0.2869)
O (0.2852, 0.2852, 0.7034)
O (0.4316, 0.1572, 0.2869)
O (0.5684, 0.8428, 0.7131)
O (0.7148, 0.7148, 0.2966)
O (0.8428, 0.5684, 0.7131)

=====

## LiErAlAu (PBE)

Data for an optimized crystal structure of LiErAlAu.

Symmetry: F-43m
Formation enthalpy at 0 K (eV/atom): -0.61
Volume (Å³ per cell): 73.4
Total magnetization (μB per cell): 0.00
VASP energy (Ha/atom): -0.147

a = 4.7002 Å, b = 4.7002 Å, c = 4.7002 Å
α = 60.00°, β = 60.00°, γ = 60.00°
Element x y z (fractional)
Li (0.0000, 0.0000, 0.0000)
Er (0.2500, 0.2500, 0.2500)
Al (0.7500, 0.7500, 0.7500)
Au (0.5000, 0.5000, 0.5000)

=====

Number 1: calculated density 5003 kg/m³. Number 2: calculated density 5874 kg/m³. Number 3: calculated density 7533 kg/m³. Number 4: calculated density 2389 kg/m³. Number 5: calculated density 5208 kg/m³. Number 6: calculated density 17998 kg/m³. Number 7: calculated density 4879 kg/m³. Number 8: calculated density 9004 kg/m³.